Computed, not measured: NdHoMgAu after structural relaxation at the PBE level of DFT.

```
data_NdHoMgAu
_space_group_name_H-M_alt 'P 4 m m'
_space_group_IT_number 99
_cell_length_a 3.740
_cell_length_b 3.740
_cell_length_c 7.418
_cell_angle_alpha 90.00
_cell_angle_beta 90.00
_cell_angle_gamma 90.00
loop_
_space_group_symop_operation_xyz
'x,y,z'
'-y,x,z'
'-x,-y,z'
'y,-x,z'
'-x,y,z'
'y,x,z'
'x,-y,z'
'-y,-x,z'
loop_
_atom_site_label
_atom_site_type_symbol
_atom_site_fract_x
_atom_site_fract_y
_atom_site_fract_z
_atom_site_occupancy
Nd1 Nd 0.000 0.000 0.000 1
Ho1 Ho 0.000 0.000 0.470 1
Mg1 Mg 0.500 0.500 0.725 1
Au1 Au 0.500 0.500 0.265 1
```

Summary:
Magnetization in μB/cell: 0.00
Total energy in eV/atom: -4.008
Distance to the lowest polymorph of the same formula in meV per atom: 0.0
Energy of formation in eV per atom: -0.45